DFT (PBE) results for a relaxed Na2CuRe crystal.

## Properties
D(E_F) (states/eV/cell): 4.7
Energy relative to the lowest polymorph listed for this composition (meV/atom): 0.0
Space group: No. 122
V (Å³/cell): 168.66
Formation energy from the elements (eV per atom): 1.386

The structure in POSCAR format:
```
Na2CuRe
1.0
-1.7279 4.2818 6.6431
-4.9954 -5.8612 2.4785
-1.4108 -1.9277 5.8017
Na Re Cu
4 2 2
Direct
0.5857 0.1250 0.2500
0.1643 0.6250 0.2500
0.8750 0.8357 0.7500
0.3750 0.4143 0.7500
0.7500 0.2500 0.5000
0.0000 0.0000 0.0000
0.5000 0.5000 0.0000
0.2500 0.7500 0.5000
```